(1)
Here is AsW2Br after structural relaxation from Alexandria via LeMat-Bulk. Energies are from PBE.

Space group: No. 160
Energy in eV/atom: -7.767
M_tot in μB/f.u.: 0.00
Energy relative to the elements, uncorrected in eV per formula unit: 1.16
Theoretical density in g/cm3: 10.72

Geometry as POSCAR:
```
AsW2Br
1.0
-6.1214 -2.9937 7.0387
-3.4371 -4.0046 8.2539
-4.3452 -1.0609 8.7161
As Br W
1 1 2
Direct
0.5224 0.5224 0.5224 As
0.7289 0.7289 0.7289 Br
0.9934 0.9934 0.9934 W
0.2553 0.2553 0.2553 W
```

(2)
Here is AsWBr after structural relaxation from Alexandria via LeMat-Bulk. Energies are from PBE.

Space group: No. 107
Energy in eV/atom: -6.132
M_tot in μB/f.u.: 0.00
Energy relative to the elements, uncorrected in eV per formula unit: 0.88
Theoretical density in g/cm3: 8.79

Geometry as POSCAR:
```
AsWBr
1.0
6.8707 0.0280 0.0000
5.4214 4.2208 0.0000
-6.1460 -2.1244 2.2181
As Br W
1 1 1
Direct
0.0472 0.0472 0.0000 As
0.2928 0.2928 0.0000 Br
0.6600 0.6600 0.0000 W
```

(3)
Here is AsW2Br after structural relaxation from Alexandria via LeMat-Bulk. Energies are from PBE.

Space group: No. 38
Energy in eV/atom: -7.911
M_tot in μB/f.u.: 0.00
Energy relative to the elements, uncorrected in eV per formula unit: 0.58
Theoretical density in g/cm3: 10.17

Geometry as POSCAR:
```
AsW2Br
1.0
3.1614 0.0000 0.0000
0.0000 3.3266 0.0849
0.0000 1.4530 8.1521
As Br W
1 1 2
Direct
0.0000 0.6089 0.4077 As
0.5000 0.9108 0.8034 Br
0.0000 0.7847 0.0553 W
0.5000 0.1956 0.2336 W
```

(4)
Here is AsWBr after structural relaxation from Alexandria via LeMat-Bulk. Energies are from PBE.

Space group: No. 156
Energy in eV/atom: -5.642
M_tot in μB/f.u.: 0.00
Energy relative to the elements, uncorrected in eV per formula unit: 2.35
Theoretical density in g/cm3: 10.05

Geometry as POSCAR:
```
AsWBr
1.0
-2.9799 -0.2589 -3.5389
4.5629 -0.0844 -0.8024
-0.0147 -2.9992 0.2318
As Br W
1 1 1
Direct
0.0000 0.0000 0.8373 As
0.6667 0.3333 0.5093 Br
0.3333 0.6667 0.6534 W
```